This record from the Alexandria database describes a geometry-optimized BeTc3 structure. The functional is PBE.

The formation energy comes out at 26 meV/atom. Its energy above the most stable polymorph in this dataset is 97.1 meV/atom.

abc: 3.8212 2.7518 5.8050
angles: 61.52 90.00 90.00
Closest atoms and distances in Å follow each position.
Atoms (fractional coordinates):
Tc 0.0000 0.5000 0.5000  2 Be 2.55, 10 Tc 2.72-2.75
Tc 0.5000 0.7284 0.7690  1 Tc 2.36, 4 Be 2.63-2.64
Tc 0.5000 0.2716 0.2310  1 Tc 2.36, 4 Be 2.63-2.64
Be 0.0000 0.0000 0.0000  10 Tc 2.55-2.64, 2 Be 2.75